(1)
First-principles (GGA-PBE) data for a relaxed CoC crystal, as listed in the Open Quantum Materials Database.

a = 2.829 Å, b = 2.829 Å, c = 2.829 Å
α = 60.00°, β = 60.00°, γ = 60.00°
Atoms (fractional coordinates):
Co (0.000, 0.000, 0.000)
C (0.500, 0.500, 0.500)

Output
The crystal system is cubic. The calculation puts the density at 7.36 g/cm3. The value obtained for the total energy is -14.7 eV for the cell shown.

---

(2)
First-principles (GGA-PBE) data for a relaxed CoC5 crystal, as listed in the Open Quantum Materials Database.

a = 4.542 Å, b = 4.542 Å, c = 2.377 Å
α = 90.00°, β = 90.00°, γ = 120.00°
Atoms (fractional coordinates):
Co (0.000, 0.000, 0.000)
C (0.000, 0.500, 0.500)
C (0.333, 0.667, 0.000)
C (0.500, 0.000, 0.500)
C (0.500, 0.500, 0.500)
C (0.667, 0.333, 0.000)

Output
The crystal system is hexagonal. The calculation puts the density at 4.65 g/cm3. The value obtained for the total energy is -35.6 eV for the cell shown.

---

(3)
First-principles (GGA-PBE) data for a relaxed Co3C crystal, as listed in the Open Quantum Materials Database.

a = 6.154 Å, b = 6.154 Å, c = 2.502 Å
α = 90.00°, β = 90.00°, γ = 120.00°
Atoms (fractional coordinates):
Co (0.195, 0.390, 0.250)
Co (0.195, 0.805, 0.250)
Co (0.390, 0.195, 0.750)
Co (0.610, 0.805, 0.250)
Co (0.805, 0.195, 0.750)
Co (0.805, 0.610, 0.750)
C (0.333, 0.667, 0.750)
C (0.667, 0.333, 0.250)

Output
The crystal system is hexagonal. The calculation puts the density at 7.64 g/cm3. The value obtained for the total energy is -57.2 eV for the cell shown.

---

(4)
First-principles (GGA-PBE) data for a relaxed Co5C crystal, as listed in the Open Quantum Materials Database.

a = 4.428 Å, b = 4.428 Å, c = 4.244 Å
α = 90.00°, β = 90.00°, γ = 120.00°
Atoms (fractional coordinates):
Co (0.000, 0.500, 0.000)
Co (0.333, 0.667, 0.500)
Co (0.500, 0.000, 0.000)
Co (0.500, 0.500, 0.000)
Co (0.667, 0.333, 0.500)
C (0.000, 0.000, 0.500)

Output
The crystal system is hexagonal. The calculation puts the density at 7.07 g/cm3. The value obtained for the total energy is -37.2 eV for the cell shown.

---

(5)
First-principles (GGA-PBE) data for a relaxed Co14C crystal, as listed in the Open Quantum Materials Database.

a = 5.747 Å, b = 5.747 Å, c = 5.747 Å
α = 75.28°, β = 75.28°, γ = 75.28°
Atoms (fractional coordinates):
Co (0.140, 0.140, 0.140)
Co (0.177, 0.500, 0.823)
Co (0.177, 0.823, 0.500)
Co (0.213, 0.213, 0.560)
Co (0.213, 0.560, 0.213)
Co (0.440, 0.787, 0.787)
Co (0.500, 0.177, 0.823)
Co (0.500, 0.823, 0.177)
Co (0.560, 0.213, 0.213)
Co (0.787, 0.440, 0.787)
Co (0.787, 0.787, 0.440)
Co (0.823, 0.177, 0.500)
Co (0.823, 0.500, 0.177)
Co (0.860, 0.860, 0.860)
C (0.000, 0.000, 0.000)

Output
The crystal system is trigonal. The calculation puts the density at 7.99 g/cm3. The value obtained for the total energy is -101.2 eV for the cell shown.

---

(6)
First-principles (GGA-PBE) data for a relaxed CsCoH24C14N8 crystal, as listed in the Open Quantum Materials Database.

a = 8.862 Å, b = 8.862 Å, c = 8.838 Å
α = 119.74°, β = 119.74°, γ = 60.11°
Atoms (fractional coordinates):
Cs (0.000, 0.000, 0.000)
Co (0.500, 0.500, 0.500)
H (0.018, 0.221, 0.511)
H (0.030, 0.504, 0.766)
H (0.046, 0.248, 0.810)
H (0.210, 0.210, 0.481)
H (0.219, 0.494, 0.734)
H (0.221, 0.018, 0.511)
H (0.240, 0.515, 0.956)
H (0.248, 0.046, 0.810)
H (0.257, 0.257, 0.000)
H (0.485, 0.760, 0.044)
H (0.494, 0.219, 0.734)
H (0.496, 0.970, 0.234)
H (0.504, 0.030, 0.766)
H (0.506, 0.781, 0.266)
H (0.515, 0.240, 0.956)
H (0.743, 0.743, 0.000)
H (0.752, 0.954, 0.190)
H (0.760, 0.485, 0.044)
H (0.779, 0.982, 0.489)
H (0.781, 0.506, 0.266)
H (0.790, 0.790, 0.519)
H (0.954, 0.752, 0.190)
H (0.970, 0.496, 0.234)
H (0.982, 0.779, 0.489)
C (0.169, 0.169, 0.550)
C (0.180, 0.456, 0.806)
C (0.197, 0.197, 0.851)
C (0.346, 0.644, 0.346)
C (0.352, 0.352, 0.364)
C (0.356, 0.654, 0.654)
C (0.456, 0.180, 0.806)
C (0.544, 0.820, 0.194)
C (0.644, 0.346, 0.346)
C (0.648, 0.648, 0.636)
C (0.654, 0.356, 0.654)
C (0.803, 0.803, 0.149)
C (0.820, 0.544, 0.194)
C (0.831, 0.831, 0.450)
N (0.249, 0.736, 0.250)
N (0.251, 0.251, 0.754)
N (0.258, 0.258, 0.277)
N (0.264, 0.751, 0.750)
N (0.736, 0.249, 0.250)
N (0.742, 0.742, 0.723)
N (0.749, 0.749, 0.246)
N (0.751, 0.264, 0.750)

Output
The crystal system is monoclinic. The calculation puts the density at 1.67 g/cm3. The value obtained for the total energy is -288.0 eV for the cell shown.

---

Question: The lowest density belongs to which entry?
Answer: CsCoH24C14N8

---

Question: Which of these has the highest density?
Answer: Co14C

---

Question: Which of these has the highest density?
Answer: Co14C

---

Question: Which value of density does entry 1 give?
Answer: 7.36 g/cm3